A plane-wave DFT calculation with PBE was carried out for a relaxed structure of PmPrNpN3. Values from VASP.

Geometry as Quantum ESPRESSO input:
```
&SYSTEM
  ibrav = 0, nat = 12, ntyp = 4
/
ATOMIC_SPECIES
Pm 145.00 Pm.upf
Np 237.00 Np.upf
Pr 140.91 Pr.upf
N 14.01 N.upf
ATOMIC_POSITIONS crystal
Pm 0.250 0.623 0.158
Pm 0.750 0.377 0.842
Np 0.750 0.942 0.411
Np 0.250 0.058 0.589
Pr 0.250 0.162 0.134
Pr 0.750 0.838 0.866
N 0.250 0.100 0.844
N 0.250 0.611 0.879
N 0.750 0.389 0.121
N 0.750 0.213 0.577
N 0.250 0.787 0.423
N 0.750 0.900 0.156
CELL_PARAMETERS angstrom
-0.113 1.505 3.360
-2.320 -6.491 2.830
8.439 -1.431 0.925
```

Values from the calculation:
E: -8.88 eV/atom
Crystal system: monoclinic
Space group: P2_1/m, No. 11
Total magnetization: 1.1 μB/f.u.

---

A plane-wave DFT calculation with PBE was carried out for a relaxed structure of Pm2PuNpN4. Values from VASP.

Geometry as Quantum ESPRESSO input:
```
&SYSTEM
  ibrav = 0, nat = 8, ntyp = 4
/
ATOMIC_SPECIES
N 14.01 N.upf
Pm 145.00 Pm.upf
Pu 244.00 Pu.upf
Np 237.00 Np.upf
ATOMIC_POSITIONS crystal
N 0.000 0.735 0.223
N 0.500 0.249 0.223
N 0.500 0.751 0.777
N 0.000 0.265 0.777
Pm 0.500 0.000 0.500
Pm 0.000 0.500 0.500
Pu 0.000 0.000 0.000
Np 0.500 0.500 0.000
CELL_PARAMETERS angstrom
3.525 0.000 0.000
0.000 6.106 0.111
0.000 -2.129 5.723
```

Values from the calculation:
E: -10.09 eV/atom
Crystal system: monoclinic
Space group: P2/m, No. 10
Total magnetization: 7.7 μB/f.u.

---

A plane-wave DFT calculation with PBE was carried out for a relaxed structure of Pm3PuNp2N6. Values from VASP.

Geometry as Quantum ESPRESSO input:
```
&SYSTEM
  ibrav = 0, nat = 12, ntyp = 4
/
ATOMIC_SPECIES
Pm 145.00 Pm.upf
N 14.01 N.upf
Np 237.00 Np.upf
Pu 244.00 Pu.upf
ATOMIC_POSITIONS crystal
Pm 0.500 0.500 0.000
Pm 0.835 0.166 0.669
Pm 0.165 0.834 0.331
N 0.335 0.895 0.670
N 0.009 0.240 0.019
N 0.991 0.760 0.981
N 0.665 0.105 0.330
N 0.673 0.567 0.346
N 0.327 0.433 0.654
Np 0.167 0.333 0.335
Np 0.833 0.667 0.665
Pu 0.500 0.000 0.000
CELL_PARAMETERS angstrom
3.514 0.000 0.000
0.000 7.047 0.236
-1.757 -2.046 7.420
```

Values from the calculation:
E: -10.00 eV/atom
Crystal system: monoclinic
Space group: C2/m, No. 12
Total magnetization: 1.1 μB/f.u.

---

A plane-wave DFT calculation with PBE was carried out for a relaxed structure of PmPuNpN3. Values from VASP.

Geometry as Quantum ESPRESSO input:
```
&SYSTEM
  ibrav = 0, nat = 12, ntyp = 4
/
ATOMIC_SPECIES
Np 237.00 Np.upf
Pu 244.00 Pu.upf
N 14.01 N.upf
Pm 145.00 Pm.upf
ATOMIC_POSITIONS crystal
Np 0.250 0.617 0.145
Np 0.750 0.383 0.855
Pu 0.750 0.799 0.441
Pu 0.250 0.201 0.559
N 0.250 0.609 0.898
N 0.750 0.845 0.135
N 0.750 0.391 0.102
N 0.750 0.121 0.406
N 0.250 0.155 0.865
N 0.250 0.879 0.594
Pm 0.250 0.119 0.164
Pm 0.750 0.881 0.836
CELL_PARAMETERS angstrom
3.426 0.000 0.000
0.000 6.853 1.246
0.000 -1.215 8.528
```

Values from the calculation:
E: -10.58 eV/atom
Crystal system: monoclinic
Space group: P2_1/m, No. 11
Total magnetization: 8.8 μB/f.u.

---

A plane-wave DFT calculation with PBE was carried out for a relaxed structure of Pm2PuNpN6. Values from VASP.

Geometry as Quantum ESPRESSO input:
```
&SYSTEM
  ibrav = 0, nat = 20, ntyp = 4
/
ATOMIC_SPECIES
N 14.01 N.upf
Pm 145.00 Pm.upf
Pu 244.00 Pu.upf
Np 237.00 Np.upf
ATOMIC_POSITIONS crystal
N 0.274 0.688 0.059
N 0.217 0.191 0.052
N 0.283 0.691 0.448
N 0.783 0.809 0.948
N 0.393 0.961 0.763
N 0.893 0.539 0.263
N 0.717 0.309 0.552
N 0.774 0.812 0.559
N 0.226 0.188 0.441
N 0.607 0.039 0.237
N 0.726 0.312 0.941
N 0.107 0.461 0.737
Pm 0.013 0.944 0.246
Pm 0.513 0.556 0.746
Pm 0.987 0.056 0.754
Pm 0.487 0.444 0.254
Pu 0.500 0.000 0.500
Pu 0.000 0.500 0.000
Np 0.000 0.500 0.500
Np 0.500 0.000 0.000
CELL_PARAMETERS angstrom
5.792 0.000 -0.070
0.000 6.022 0.000
-0.049 0.000 8.340
```

Values from the calculation:
E: -9.85 eV/atom
Crystal system: monoclinic
Space group: P2_1/c, No. 14
Total magnetization: 3.0 μB/f.u.

---

A plane-wave DFT calculation with PBE was carried out for a relaxed structure of Pm2NpRhN5. Values from VASP.

Geometry as Quantum ESPRESSO input:
```
&SYSTEM
  ibrav = 0, nat = 18, ntyp = 4
/
ATOMIC_SPECIES
N 14.01 N.upf
Rh 102.91 Rh.upf
Np 237.00 Np.upf
Pm 145.00 Pm.upf
ATOMIC_POSITIONS crystal
N 0.943 0.885 0.566
N 0.490 0.979 0.775
N 0.057 0.115 0.066
N 0.723 0.445 0.142
N 0.634 0.269 0.490
N 0.277 0.555 0.642
N 0.366 0.731 0.990
N 0.682 0.364 0.891
N 0.318 0.636 0.391
N 0.510 0.021 0.275
Rh 0.527 0.055 0.955
Rh 0.473 0.945 0.455
Np 0.209 0.418 0.016
Np 0.791 0.582 0.516
Pm 0.903 0.807 0.185
Pm 0.136 0.272 0.305
Pm 0.097 0.193 0.685
Pm 0.864 0.728 0.805
CELL_PARAMETERS angstrom
-0.378 -0.805 3.314
6.835 0.187 -0.951
0.069 10.491 2.557
```

Values from the calculation:
E: -8.79 eV/atom
Crystal system: orthorhombic
Space group: Cmc2_1, No. 36
Total magnetization: 0.5 μB/f.u.

---

A plane-wave DFT calculation with PBE was carried out for a relaxed structure of PmNp2RhN4. Values from VASP.

Geometry as Quantum ESPRESSO input:
```
&SYSTEM
  ibrav = 0, nat = 16, ntyp = 4
/
ATOMIC_SPECIES
Pm 145.00 Pm.upf
Rh 102.91 Rh.upf
N 14.01 N.upf
Np 237.00 Np.upf
ATOMIC_POSITIONS crystal
Pm 0.892 0.785 0.250
Pm 0.108 0.215 0.750
Rh 0.846 0.691 0.750
Rh 0.154 0.309 0.250
N 0.455 0.910 0.750
N 0.267 0.535 0.102
N 0.733 0.465 0.898
N 0.000 0.000 0.000
N 0.733 0.465 0.602
N 0.545 0.090 0.250
N 0.000 0.000 0.500
N 0.267 0.535 0.398
Np 0.371 0.743 0.944
Np 0.371 0.743 0.556
Np 0.629 0.257 0.444
Np 0.629 0.257 0.056
CELL_PARAMETERS angstrom
-2.356 -1.687 -1.900
3.648 -4.109 2.284
-6.873 -0.915 9.333
```

Values from the calculation:
E: -9.83 eV/atom
Crystal system: orthorhombic
Space group: Cmcm, No. 63
Total magnetization: 4.5 μB/f.u.

---

A plane-wave DFT calculation with PBE was carried out for a relaxed structure of PmNp2RuN4. Values from VASP.

Geometry as Quantum ESPRESSO input:
```
&SYSTEM
  ibrav = 0, nat = 16, ntyp = 4
/
ATOMIC_SPECIES
N 14.01 N.upf
Ru 101.07 Ru.upf
Np 237.00 Np.upf
Pm 145.00 Pm.upf
ATOMIC_POSITIONS crystal
N 0.731 0.461 0.892
N 0.269 0.539 0.108
N 0.731 0.461 0.608
N 0.547 0.094 0.250
N 0.453 0.906 0.750
N 0.000 0.000 0.500
N 0.000 0.000 0.000
N 0.269 0.539 0.392
Ru 0.846 0.692 0.750
Ru 0.154 0.308 0.250
Np 0.629 0.259 0.054
Np 0.371 0.741 0.554
Np 0.629 0.259 0.446
Np 0.371 0.741 0.946
Pm 0.893 0.786 0.250
Pm 0.107 0.214 0.750
CELL_PARAMETERS angstrom
-2.330 2.216 1.026
-0.229 -4.612 3.888
7.907 5.226 6.664
```

Values from the calculation:
E: -10.06 eV/atom
Crystal system: orthorhombic
Space group: Cmcm, No. 63
Total magnetization: 4.4 μB/f.u.

---

A plane-wave DFT calculation with PBE was carried out for a relaxed structure of Pm2NpS2N2. Values from VASP.

Geometry as Quantum ESPRESSO input:
```
&SYSTEM
  ibrav = 0, nat = 7, ntyp = 4
/
ATOMIC_SPECIES
N 14.01 N.upf
S 32.06 S.upf
Np 237.00 Np.upf
Pm 145.00 Pm.upf
ATOMIC_POSITIONS crystal
N 0.825 0.296 0.053
N 0.175 0.704 0.947
S 0.586 0.177 0.652
S 0.414 0.823 0.348
Np 0.000 0.000 0.000
Pm 0.793 0.679 0.735
Pm 0.207 0.321 0.265
CELL_PARAMETERS angstrom
-3.685 0.576 1.161
-1.738 -5.256 3.663
0.105 0.509 6.655
```

Values from the calculation:
E: -8.43 eV/atom
Crystal system: monoclinic
Space group: C2/m, No. 12
Total magnetization: 3.0 μB/f.u.

---

A plane-wave DFT calculation with PBE was carried out for a relaxed structure of Pm2NpSbN5. Values from VASP.

Geometry as Quantum ESPRESSO input:
```
&SYSTEM
  ibrav = 0, nat = 18, ntyp = 4
/
ATOMIC_SPECIES
Np 237.00 Np.upf
N 14.01 N.upf
Pm 145.00 Pm.upf
Sb 121.76 Sb.upf
ATOMIC_POSITIONS crystal
Np 0.217 0.433 0.006
Np 0.783 0.567 0.506
N 0.371 0.742 0.009
N 0.718 0.435 0.142
N 0.629 0.258 0.509
N 0.696 0.392 0.873
N 0.053 0.106 0.061
N 0.304 0.608 0.373
N 0.505 0.010 0.281
N 0.495 0.990 0.781
N 0.947 0.894 0.561
N 0.282 0.565 0.642
Pm 0.138 0.276 0.284
Pm 0.885 0.770 0.200
Pm 0.862 0.724 0.784
Pm 0.115 0.230 0.700
Sb 0.486 0.972 0.469
Sb 0.514 0.028 0.969
CELL_PARAMETERS angstrom
3.508 0.000 0.000
-1.754 7.131 0.000
0.000 0.000 10.691
```

Values from the calculation:
E: -8.32 eV/atom
Crystal system: orthorhombic
Space group: Cmc2_1, No. 36
Total magnetization: 2.6 μB/f.u.

---

A plane-wave DFT calculation with PBE was carried out for a relaxed structure of Pm2NpSe2N2. Values from VASP.

Geometry as Quantum ESPRESSO input:
```
&SYSTEM
  ibrav = 0, nat = 7, ntyp = 4
/
ATOMIC_SPECIES
Pm 145.00 Pm.upf
Se 78.96 Se.upf
Np 237.00 Np.upf
N 14.01 N.upf
ATOMIC_POSITIONS crystal
Pm 0.195 0.355 0.254
Pm 0.805 0.645 0.746
Se 0.428 0.801 0.344
Se 0.572 0.199 0.656
Np 0.000 0.000 0.000
N 0.185 0.701 0.930
N 0.815 0.299 0.070
CELL_PARAMETERS angstrom
3.950 0.000 0.000
1.975 6.126 0.010
1.975 2.323 6.128
```

Values from the calculation:
E: -8.18 eV/atom
Crystal system: monoclinic
Space group: C2/m, No. 12
Total magnetization: 3.0 μB/f.u.

---

A plane-wave DFT calculation with PBE was carried out for a relaxed structure of PmNpSeN2. Values from VASP.

Geometry as Quantum ESPRESSO input:
```
&SYSTEM
  ibrav = 0, nat = 5, ntyp = 4
/
ATOMIC_SPECIES
N 14.01 N.upf
Se 78.96 Se.upf
Np 237.00 Np.upf
Pm 145.00 Pm.upf
ATOMIC_POSITIONS crystal
N 0.241 0.741 0.481
N 0.741 0.241 0.481
Se 0.504 0.504 0.008
Np 0.163 0.163 0.326
Pm 0.851 0.851 0.702
CELL_PARAMETERS angstrom
3.850 0.000 0.000
0.000 3.850 0.000
-1.925 -1.925 6.202
```

Values from the calculation:
E: -8.93 eV/atom
Crystal system: tetragonal
Space group: I4mm, No. 107
Total magnetization: 2.0 μB/f.u.

---

A plane-wave DFT calculation with PBE was carried out for a relaxed structure of Pm2SmNpN4. Values from VASP.

Geometry as Quantum ESPRESSO input:
```
&SYSTEM
  ibrav = 0, nat = 8, ntyp = 4
/
ATOMIC_SPECIES
N 14.01 N.upf
Pm 145.00 Pm.upf
Sm 150.36 Sm.upf
Np 237.00 Np.upf
ATOMIC_POSITIONS crystal
N 0.000 0.232 0.771
N 0.500 0.232 0.230
N 0.000 0.768 0.229
N 0.500 0.768 0.770
Pm 0.500 0.000 0.500
Pm 0.000 0.500 0.500
Sm 0.500 0.500 0.000
Np 0.000 0.000 0.000
CELL_PARAMETERS angstrom
-3.004 -1.819 0.552
1.927 -1.473 5.632
-3.140 5.271 0.279
```

Values from the calculation:
E: -8.94 eV/atom
Crystal system: monoclinic
Space group: P2/m, No. 10
Total magnetization: 2.8 μB/f.u.

---

A plane-wave DFT calculation with PBE was carried out for a relaxed structure of Pm2Sm3NpN6. Values from VASP.

Geometry as Quantum ESPRESSO input:
```
&SYSTEM
  ibrav = 0, nat = 12, ntyp = 4
/
ATOMIC_SPECIES
Np 237.00 Np.upf
N 14.01 N.upf
Sm 150.36 Sm.upf
Pm 145.00 Pm.upf
ATOMIC_POSITIONS crystal
Np 0.000 0.000 0.000
N 0.228 0.228 0.763
N 0.079 0.386 0.236
N 0.614 0.921 0.764
N 0.386 0.079 0.236
N 0.921 0.614 0.764
N 0.772 0.772 0.237
Sm 0.500 0.500 0.500
Sm 0.833 0.167 0.500
Sm 0.167 0.833 0.500
Pm 0.666 0.334 0.000
Pm 0.334 0.666 0.000
CELL_PARAMETERS angstrom
6.165 0.000 0.000
-3.081 5.340 0.000
-1.029 -1.781 5.797
```

Values from the calculation:
E: -8.65 eV/atom
Crystal system: monoclinic
Space group: C2/m, No. 12
Total magnetization: 2.4 μB/f.u.

---

A plane-wave DFT calculation with PBE was carried out for a relaxed structure of PmSmNpN3. Values from VASP.

Geometry as Quantum ESPRESSO input:
```
&SYSTEM
  ibrav = 0, nat = 12, ntyp = 4
/
ATOMIC_SPECIES
Pm 145.00 Pm.upf
N 14.01 N.upf
Sm 150.36 Sm.upf
Np 237.00 Np.upf
ATOMIC_POSITIONS crystal
Pm 0.250 0.619 0.160
Pm 0.750 0.381 0.840
N 0.750 0.381 0.119
N 0.250 0.619 0.881
N 0.250 0.098 0.847
N 0.750 0.217 0.579
N 0.750 0.902 0.153
N 0.250 0.783 0.421
Sm 0.750 0.845 0.873
Sm 0.250 0.155 0.127
Np 0.250 0.057 0.590
Np 0.750 0.943 0.410
CELL_PARAMETERS angstrom
3.642 0.000 0.000
0.000 7.249 0.917
0.000 -1.869 8.401
```

Values from the calculation:
E: -8.91 eV/atom
Crystal system: monoclinic
Space group: P2_1/m, No. 11
Total magnetization: 1.1 μB/f.u.

---

A plane-wave DFT calculation with PBE was carried out for a relaxed structure of Pm3Sm2NpN6. Values from VASP.

Geometry as Quantum ESPRESSO input:
```
&SYSTEM
  ibrav = 0, nat = 12, ntyp = 4
/
ATOMIC_SPECIES
Pm 145.00 Pm.upf
N 14.01 N.upf
Sm 150.36 Sm.upf
Np 237.00 Np.upf
ATOMIC_POSITIONS crystal
Pm 0.500 0.500 0.500
Pm 0.833 0.167 0.500
Pm 0.167 0.833 0.500
N 0.385 0.077 0.232
N 0.923 0.615 0.768
N 0.230 0.230 0.766
N 0.770 0.770 0.234
N 0.615 0.923 0.768
N 0.077 0.385 0.232
Sm 0.666 0.334 0.000
Sm 0.334 0.666 0.000
Np 0.000 0.000 0.000
CELL_PARAMETERS angstrom
-4.408 3.027 -3.067
4.490 -2.871 -3.097
-3.238 -4.894 1.891
```

Values from the calculation:
E: -8.65 eV/atom
Crystal system: monoclinic
Space group: C2/m, No. 12
Total magnetization: 2.4 μB/f.u.

---

A plane-wave DFT calculation with PBE was carried out for a relaxed structure of Sr2Pm3NpN6. Values from VASP.

Geometry as Quantum ESPRESSO input:
```
&SYSTEM
  ibrav = 0, nat = 12, ntyp = 4
/
ATOMIC_SPECIES
Pm 145.00 Pm.upf
Sr 87.62 Sr.upf
Np 237.00 Np.upf
N 14.01 N.upf
ATOMIC_POSITIONS crystal
Pm 0.500 0.500 0.500
Pm 0.160 0.840 0.500
Pm 0.840 0.160 0.500
Sr 0.333 0.667 0.000
Sr 0.667 0.333 0.000
Np 0.000 0.000 0.000
N 0.209 0.209 0.752
N 0.921 0.641 0.762
N 0.791 0.791 0.248
N 0.641 0.921 0.762
N 0.079 0.359 0.238
N 0.359 0.079 0.238
CELL_PARAMETERS angstrom
-0.542 -3.216 5.398
-2.896 -2.052 -5.214
5.886 -1.375 -1.456
```

Values from the calculation:
E: -7.90 eV/atom
Crystal system: monoclinic
Space group: C2/m, No. 12
Total magnetization: 1.7 μB/f.u.

---

A plane-wave DFT calculation with PBE was carried out for a relaxed structure of Sr2PmNp3N8. Values from VASP.

Geometry as Quantum ESPRESSO input:
```
&SYSTEM
  ibrav = 0, nat = 14, ntyp = 4
/
ATOMIC_SPECIES
N 14.01 N.upf
Np 237.00 Np.upf
Sr 87.62 Sr.upf
Pm 145.00 Pm.upf
ATOMIC_POSITIONS crystal
N 0.753 0.303 0.191
N 0.677 0.250 0.823
N 0.272 0.272 0.185
N 0.753 0.753 0.191
N 0.250 0.250 0.823
N 0.732 0.732 0.804
N 0.303 0.753 0.191
N 0.250 0.677 0.823
Np 0.002 0.498 0.002
Np 0.498 0.002 0.002
Np 0.498 0.498 0.002
Sr 0.117 0.117 0.648
Sr 0.499 0.499 0.502
Pm 0.888 0.888 0.336
CELL_PARAMETERS angstrom
-5.449 0.323 4.305
-4.698 -5.124 0.051
-0.319 -4.369 5.538
```

Values from the calculation:
E: -9.16 eV/atom
Crystal system: trigonal
Space group: R3m, No. 160
Total magnetization: 4.0 μB/f.u.

---

A plane-wave DFT calculation with PBE was carried out for a relaxed structure of Tb2PmNpN4. Values from VASP.

Geometry as Quantum ESPRESSO input:
```
&SYSTEM
  ibrav = 0, nat = 8, ntyp = 4
/
ATOMIC_SPECIES
Tb 158.93 Tb.upf
Pm 145.00 Pm.upf
Np 237.00 Np.upf
N 14.01 N.upf
ATOMIC_POSITIONS crystal
Tb 0.500 0.000 0.500
Tb 0.000 0.500 0.500
Pm 0.500 0.500 0.000
Np 0.000 0.000 0.000
N 0.500 0.237 0.244
N 0.500 0.763 0.756
N 0.000 0.770 0.242
N 0.000 0.230 0.758
CELL_PARAMETERS angstrom
3.508 0.000 0.000
0.000 6.068 0.132
0.000 -2.097 5.675
```

Values from the calculation:
E: -9.00 eV/atom
Crystal system: monoclinic
Space group: P2/m, No. 10
Total magnetization: 3.0 μB/f.u.

---

A plane-wave DFT calculation with PBE was carried out for a relaxed structure of TbPmNpN3. Values from VASP.

Geometry as Quantum ESPRESSO input:
```
&SYSTEM
  ibrav = 0, nat = 12, ntyp = 4
/
ATOMIC_SPECIES
Np 237.00 Np.upf
N 14.01 N.upf
Pm 145.00 Pm.upf
Tb 158.93 Tb.upf
ATOMIC_POSITIONS crystal
Np 0.250 0.057 0.593
Np 0.750 0.943 0.407
N 0.750 0.220 0.590
N 0.250 0.101 0.849
N 0.250 0.608 0.880
N 0.750 0.392 0.120
N 0.250 0.780 0.410
N 0.750 0.899 0.151
Pm 0.250 0.163 0.132
Pm 0.750 0.837 0.868
Tb 0.750 0.373 0.849
Tb 0.250 0.627 0.151
CELL_PARAMETERS angstrom
-3.575 0.483 0.163
-0.617 -5.932 4.052
1.064 5.689 6.475
```

Values from the calculation:
E: -8.93 eV/atom
Crystal system: monoclinic
Space group: P2_1/m, No. 11
Total magnetization: 1.1 μB/f.u.